Computed, not measured: a geometry-optimized CaAc2SmTe5 structure at the PBE level of DFT.

- Formation energy (no corrections): -1.100 eV/atom
- Calculated total energy: -0.33115 Ry per atom

Lattice parameters (Å, degrees): 5.654 5.654 11.718 90.00 90.00 90.00
Space group P4/mmm (No. 123)
Unique sites:
Ca (0.000, 0.000, 0.000) [1 per cell]
Ac (0.500, 0.500, 0.302) [2 per cell]
Sm (0.000, 0.000, 0.500) [1 per cell]
Te (0.000, 0.000, 0.244) [2 per cell]
Te (0.000, 0.500, 0.500) [2 per cell]
Te (0.500, 0.500, 0.000) [1 per cell]


Computed, not measured: a geometry-optimized HfAs2IrBr structure at the PBE level of DFT.

- Relative energy among the computed polymorphs: 288 meV per atom
- Formation energy (no corrections): 0.934 eV/atom
- Calculated total energy: -0.36924 Ry per atom

Lattice parameters (Å, degrees): 5.164 5.164 5.008 90.00 90.00 90.00
Space group P4/mmm (No. 123)
Unique sites:
Hf (0.000, 0.000, 0.000) [1 per cell]
As (0.000, 0.500, 0.000) [2 per cell]
Ir (0.500, 0.500, 0.500) [1 per cell]
Br (0.000, 0.000, 0.500) [1 per cell]


Computed, not measured: a geometry-optimized Tb2Pr5Sb4 structure at the PBE level of DFT.

- Formation energy (no corrections): -0.491 eV/atom
- Calculated total energy: -0.36782 Ry per atom

Lattice parameters (Å, degrees): 26.381 4.113 7.179 90.00 92.03 90.00
Space group C2/m (No. 12)
Unique sites:
Tb (0.235, 0.000, 0.266) [4 per cell]
Pr (0.000, 0.500, 0.500) [2 per cell]
Pr (0.093, 0.000, 0.198) [4 per cell]
Pr (0.143, 0.000, 0.688) [4 per cell]
Sb (0.030, 0.000, 0.814) [4 per cell]
Sb (0.175, 0.500, 0.016) [4 per cell]


Computed, not measured: a geometry-optimized SrLi2Ge4 structure at the PBE level of DFT.

- Formation energy from the elements: -0.289 eV/atom
- Calculated total energy: -0.27301 Ry per atom

Lattice parameters (Å, degrees): 7.016 7.016 5.854 90.00 90.00 90.00
Space group I4/mmm (No. 139)
Unique sites:
Sr (0.000, 0.000, 0.000) [2 per cell]
Li (0.000, 0.500, 0.250) [4 per cell]
Ge (0.191, 0.191, 0.500) [8 per cell]